! Ac12Ag6Au (PBE, optimized geometry); values from VASP
! Total DFT energy (no corrections) = -70.88 eV/cell
! E_form = -0.0630 eV/atom
! Symmetry = R-3 (148)
&SYSTEM
  ibrav = 0, nat = 19, ntyp = 3
/
ATOMIC_SPECIES
Ac 227.00 Ac.upf
Ag 107.87 Ag.upf
Au 196.97 Au.upf
CELL_PARAMETERS angstrom
7.0417 4.0656 4.4202
-7.0417 4.0656 4.4202
0.0000 -8.1311 4.4202
ATOMIC_POSITIONS crystal
Ac 0.0359 0.9150 0.6749
Ac 0.0850 0.3251 0.9641
Ac 0.1889 0.5644 0.4115
Ac 0.3251 0.9641 0.0850
Ac 0.4115 0.1889 0.5644
Ac 0.4356 0.5885 0.8111
Ac 0.5644 0.4115 0.1889
Ac 0.5885 0.8111 0.4356
Ac 0.6749 0.0359 0.9150
Ac 0.8111 0.4356 0.5885
Ac 0.9150 0.6749 0.0359
Ac 0.9641 0.0850 0.3251
Ag 0.1298 0.3180 0.6315
Ag 0.3180 0.6315 0.1298
Ag 0.3685 0.8702 0.6820
Ag 0.6315 0.1298 0.3180
Ag 0.6820 0.3685 0.8702
Ag 0.8702 0.6820 0.3685
Au 0.0000 0.0000 0.0000